SrMn2P after structural relaxation, computed with GGA-PBE.

The value obtained for the total energy is -47.01 eV for the cell shown. The calculated formation energy comes out at 0.48 eV/atom. The value obtained for the volume is 20.33 Å³/atom.

Cell: 5.916 10.370 3.093 Å, 90.00 121.01 90.00°
Space group C2/m (No. 12)
Unique sites:
Sr 0.000 0.000 0.000 x2
Mn 0.250 0.250 0.500 x4
P 0.000 0.500 0.000 x2